{
  "formula": "PuTiVRe",
  "functional": "PBE",
  "state": "optimized geometry",
  "formation_enthalpy_0k_ev_per_fu": 0.38,
  "lattice": [[-1.9911, -0.9014, -3.9572], [-2.4304, -3.7789, -0.4984], [-4.4989, 0.2387, -0.3729]],
  "species": ["Re", "V", "Ti", "Pu"],
  "fractional_positions": [[0.5000, 0.5000, 0.5000], [0.7500, 0.7500, 0.7500], [0.2500, 0.2500, 0.2500], [0.0000, 0.0000, 0.0000]]
}